ZrC8N2Cl6 | PBE-GGA | optimized geometry

It has space group R3m (No. 160, hexagonal axes), with a = 7.4481 Å, b = 7.4481 Å, c = 22.1010 Å, α = 90.00°, β = 90.00° and γ = 120.00°. The distinct sites, in fractional coordinates, are Zr at (0.0000, 0.0000, 0.0000), C at (0.0000, 0.0000, 0.2936), C at (0.0000, 0.0000, 0.6892), C at (0.0953, 0.1907, 0.2550), C at (0.1624, 0.0812, 0.7375), N at (0.0000, 0.0000, 0.2143), N at (0.0000, 0.0000, 0.7853), Cl at (0.0196, 0.5098, 0.7307) and Cl at (0.1788, 0.3576, 0.5974).

Its formation energy (no corrections) is 103 kJ/mol of atoms.